Na2MgCd3 | PBE-GGA | relaxed

Lattice parameters (Å, degrees): 5.988 5.988 9.839 90.00 90.00 120.00
Positions (direct):
1 Na 0.333 0.667 0.064
2 Na 0.333 0.667 0.436
3 Na 0.667 0.333 0.564
4 Na 0.667 0.333 0.936
5 Mg 0.000 0.000 0.000
6 Mg 0.000 0.000 0.500
7 Cd 0.170 0.340 0.750
8 Cd 0.170 0.830 0.750
9 Cd 0.340 0.170 0.250
10 Cd 0.660 0.830 0.750
11 Cd 0.830 0.170 0.250
12 Cd 0.830 0.660 0.250

Computed properties:
The space-group type is P6_3/mmc (194). The value obtained for the energy above the most stable polymorph in this dataset is 0 meV per atom. The crystal system is hexagonal. Its formation energy is -0.111 eV/atom.